ErAl2Ag9 | GGA-PBE | relaxed

## Properties
- Total energy: -3.21 eV/atom

Unit cell a=11.3533 b=11.3533 c=7.0468 alpha=90.00 beta=90.00 gamma=90.00
Closest atoms and distances in Å follow each position.
Space group I4_1/amd (No. 141, origin choice 2)
Unique sites:
Er1 0.0000 0.2500 0.3750 (multiplicity 4)  18 Ag 3.37-3.74
Al1 0.0000 0.0000 0.0000 (multiplicity 8)  10 Ag 2.70-2.97
Ag1 0.0000 0.2500 0.8750 (multiplicity 4)  8 Ag 2.96, 4 Al 2.97
Ag2 0.1215 0.0546 0.6773 (multiplicity 32)  2 Al 2.70-2.73, 5 Ag 2.76-2.96